No. 1
The following is a PBE calculation of a geometry-optimized Li2AcPm2In2 structure, from the Alexandria database.

a = 5.0001 Å, b = 5.0001 Å, c = 28.2190 Å
α = 90.00°, β = 90.00°, γ = 120.00°
Space group R-3m (No. 166, hexagonal axes)
Inequivalent atoms, fractional coordinates:
Li 0.0000 0.0000 0.0880 (multiplicity 6)
Ac 0.0000 0.0000 0.5000 (multiplicity 3)
Pm 0.0000 0.0000 0.3697 (multiplicity 6)
In 0.0000 0.0000 0.2447 (multiplicity 6)

Results
Energy relative to the elements, eV per formula unit: -1.75
Density of states at the Fermi level, states/eV/cell: 16.5
Electronic total energy, eV per atom: -3.524



No. 2
The following is a PBE calculation of a geometry-optimized PmDy4Y15 structure, from the Alexandria database.

a = 5.047 Å, b = 5.047 Å, c = 25.235 Å
α = 90.00°, β = 90.00°, γ = 90.00°
Space group P4/mmm (No. 123)
Inequivalent atoms, fractional coordinates:
Pm 0.000 0.000 0.000 (multiplicity 1)
Dy 0.000 0.000 0.201 (multiplicity 2)
Dy 0.000 0.000 0.400 (multiplicity 2)
Y 0.000 0.500 0.101 (multiplicity 4)
Y 0.000 0.500 0.300 (multiplicity 4)
Y 0.000 0.500 0.500 (multiplicity 2)
Y 0.500 0.500 0.000 (multiplicity 1)
Y 0.500 0.500 0.201 (multiplicity 2)
Y 0.500 0.500 0.400 (multiplicity 2)

Results
Energy relative to the elements, eV per formula unit: 0.46
Density of states at the Fermi level, states/eV/cell: 28.4
Electronic total energy, eV per atom: -5.983



No. 3
The following is a PBE calculation of a geometry-optimized Mg2ReSi structure, from the Alexandria database.

a = 3.499 Å, b = 4.105 Å, c = 4.350 Å
α = 90.00°, β = 90.00°, γ = 90.00°
Space group Pmmm (No. 47)
Inequivalent atoms, fractional coordinates:
Mg 0.000 0.000 0.000 (multiplicity 1)
Mg 0.500 0.500 0.000 (multiplicity 1)
Re 0.000 0.500 0.500 (multiplicity 1)
Si 0.500 0.000 0.500 (multiplicity 1)

Results
Density of states at the Fermi level, states/eV/cell: 2.3
ΔE_f (raw), meV/atom: 252
Electronic total energy, eV per atom: -5.013



No. 4
The following is a PBE calculation of a geometry-optimized Be2Cl structure, from the Alexandria database.

a = 5.0042 Å, b = 5.0042 Å, c = 4.2508 Å
α = 90.00°, β = 90.00°, γ = 120.00°
Space group P6_3/mmc (No. 194)
Inequivalent atoms, fractional coordinates:
Be 0.0000 0.0000 0.0000 (multiplicity 2)
Be 0.3333 0.6667 0.2500 (multiplicity 2)
Cl 0.3333 0.6667 0.7500 (multiplicity 2)

Results
Density of states at the Fermi level, states/eV/cell: 4.1
ΔE_f (raw), meV/atom: 862
Electronic total energy, eV per atom: -2.237



No. 5
The following is a PBE calculation of a geometry-optimized LiPuZn2Au4 structure, from the Alexandria database.

a = 4.5208 Å, b = 4.5208 Å, c = 25.2355 Å
α = 90.00°, β = 90.00°, γ = 120.00°
Space group R-3m (No. 166, hexagonal axes)
Inequivalent atoms, fractional coordinates:
Li 0.0000 0.0000 0.0000 (multiplicity 3)
Pu 0.0000 0.0000 0.5000 (multiplicity 3)
Zn 0.0000 0.0000 0.2582 (multiplicity 6)
Au 0.0000 0.0000 0.1037 (multiplicity 6)
Au 0.0000 0.0000 0.3702 (multiplicity 6)

Results
Energy relative to the elements, eV per formula unit: -3.04
Density of states at the Fermi level, states/eV/cell: 48.3
Electronic total energy, eV per atom: -4.368



No. 6
The following is a PBE calculation of a geometry-optimized BaSnAsSe2 structure, from the Alexandria database.

a = 5.455 Å, b = 5.455 Å, c = 5.215 Å
α = 90.00°, β = 90.00°, γ = 90.00°
Space group P4/mmm (No. 123)
Inequivalent atoms, fractional coordinates:
Ba 0.000 0.000 0.000 (multiplicity 1)
Sn 0.500 0.500 0.500 (multiplicity 1)
As 0.500 0.500 0.000 (multiplicity 1)
Se 0.000 0.500 0.500 (multiplicity 2)

Results
Density of states at the Fermi level, states/eV/cell: 4.1
ΔE_f (raw), meV/atom: -549
Electronic total energy, eV per atom: -4.058



No. 7
The following is a PBE calculation of a geometry-optimized SrIn2Ge structure, from the Alexandria database.

a = 4.6831 Å, b = 4.6831 Å, c = 18.7808 Å
α = 90.00°, β = 90.00°, γ = 120.00°
Space group R-3m (No. 166, hexagonal axes)
Inequivalent atoms, fractional coordinates:
Sr 0.0000 0.0000 0.0000 (multiplicity 3)
In 0.0000 0.0000 0.2243 (multiplicity 6)
Ge 0.0000 0.0000 0.5000 (multiplicity 3)

Results
Energy relative to the elements, eV per formula unit: -0.80
Density of states at the Fermi level, states/eV/cell: 4.2
Electronic total energy, eV per atom: -3.143



No. 8
The following is a PBE calculation of a geometry-optimized Pa2Te4Cl structure, from the Alexandria database.

a = 12.382 Å, b = 12.357 Å, c = 9.267 Å
α = 90.00°, β = 131.87°, γ = 90.00°
Space group C2/c (No. 15)
Inequivalent atoms, fractional coordinates:
Pa 0.000 0.000 0.000 (multiplicity 4)
Pa 0.250 0.250 0.000 (multiplicity 4)
Te 0.024 0.246 0.557 (multiplicity 8)
Te 0.216 0.005 0.943 (multiplicity 8)
Cl 0.000 0.376 0.250 (multiplicity 4)

Results
Density of states at the Fermi level, states/eV/cell: 20.2
ΔE_f (raw), meV/atom: -658
Electronic total energy, eV per atom: -5.430



No. 9
The following is a PBE calculation of a geometry-optimized ReTe2IrI structure, from the Alexandria database.

a = 5.087 Å, b = 5.087 Å, c = 5.518 Å
α = 90.00°, β = 90.00°, γ = 90.00°
Space group P4/mmm (No. 123)
Inequivalent atoms, fractional coordinates:
Re 0.000 0.000 0.000 (multiplicity 1)
Te 0.000 0.500 0.000 (multiplicity 2)
Ir 0.500 0.500 0.500 (multiplicity 1)
I 0.000 0.000 0.500 (multiplicity 1)

Results
Density of states at the Fermi level, states/eV/cell: 6.1
ΔE_f (raw), meV/atom: 1556
Electronic total energy, eV per atom: -4.272



No. 10
The following is a PBE calculation of a geometry-optimized K7TeH12 structure, from the Alexandria database.

a = 11.4122 Å, b = 11.4122 Å, c = 10.5105 Å
α = 90.00°, β = 90.00°, γ = 120.00°
Space group R-3 (No. 148, hexagonal axes)
Inequivalent atoms, fractional coordinates:
K 0.0000 0.0000 0.0000 (multiplicity 3)
K 0.0173 0.7389 0.6785 (multiplicity 18)
Te 0.0000 0.0000 0.5000 (multiplicity 3)
H 0.0100 0.8697 0.3974 (multiplicity 18)
H 0.0834 0.5784 0.8108 (multiplicity 18)

Results
Density of states at the Fermi level, states/eV/cell: 13.3
Electronic total energy, eV per atom: -2.458



No. 11
The following is a PBE calculation of a geometry-optimized Pm2NiP structure, from the Alexandria database.

a = 4.0417 Å, b = 4.0417 Å, c = 20.6205 Å
α = 90.00°, β = 90.00°, γ = 120.00°
Space group R-3m (No. 166, hexagonal axes)
Inequivalent atoms, fractional coordinates:
Pm 0.0000 0.0000 0.2494 (multiplicity 6)
Ni 0.0000 0.0000 0.0000 (multiplicity 3)
P 0.0000 0.0000 0.5000 (multiplicity 3)

Results
Energy relative to the elements, eV per formula unit: -3.01
Density of states at the Fermi level, states/eV/cell: 8.8
Electronic total energy, eV per atom: -5.926



No. 12
The following is a PBE calculation of a geometry-optimized Pr4Sn5Sb structure, from the Alexandria database.

a = 11.184 Å, b = 12.209 Å, c = 4.552 Å
α = 90.00°, β = 90.00°, γ = 90.00°
Space group Pmmn (No. 59, origin choice 2)
Inequivalent atoms, fractional coordinates:
Pr 0.046 0.250 0.250 (multiplicity 4)
Pr 0.250 0.501 0.750 (multiplicity 4)
Sn 0.055 0.567 0.250 (multiplicity 8)
Sn 0.250 0.250 0.749 (multiplicity 2)
Sb 0.250 0.750 0.747 (multiplicity 2)

Results
Density of states at the Fermi level, states/eV/cell: 13.8
ΔE_f (raw), meV/atom: -625
Electronic total energy, eV per atom: -4.950



No. 13
The following is a PBE calculation of a geometry-optimized TaRu2Rh structure, from the Alexandria database.

a = 2.7732 Å, b = 2.7732 Å, c = 27.1952 Å
α = 90.00°, β = 90.00°, γ = 120.00°
Space group R-3m (No. 166, hexagonal axes)
Inequivalent atoms, fractional coordinates:
Ta 0.0000 0.0000 0.0000 (multiplicity 3)
Ru 0.0000 0.0000 0.2472 (multiplicity 6)
Rh 0.0000 0.0000 0.5000 (multiplicity 3)

Results
Energy relative to the elements, eV per formula unit: 0.30
Density of states at the Fermi level, states/eV/cell: 14.0
Electronic total energy, eV per atom: -9.363



No. 14
The following is a PBE calculation of a geometry-optimized YMg2 structure, from the Alexandria database.

a = 4.217 Å, b = 4.217 Å, c = 18.852 Å
α = 90.00°, β = 90.00°, γ = 90.00°
Space group I4_1/amd (No. 141, origin choice 2)
Inequivalent atoms, fractional coordinates:
Y 0.000 0.250 0.375 (multiplicity 4)
Mg 0.000 0.250 0.798 (multiplicity 8)

Results
Energy relative to the elements, eV per formula unit: 0.37
Density of states at the Fermi level, states/eV/cell: 14.3
Electronic total energy, eV per atom: -3.096



No. 15
The following is a PBE calculation of a geometry-optimized KTa2Ru structure, from the Alexandria database.

a = 2.9463 Å, b = 2.9463 Å, c = 32.6747 Å
α = 90.00°, β = 90.00°, γ = 120.00°
Space group R-3m (No. 166, hexagonal axes)
Inequivalent atoms, fractional coordinates:
K 0.0000 0.0000 0.0000 (multiplicity 3)
Ta 0.0000 0.0000 0.2329 (multiplicity 6)
Ru 0.0000 0.0000 0.5000 (multiplicity 3)

Results
Energy relative to the elements, eV per formula unit: 2.63
Density of states at the Fermi level, states/eV/cell: 12.2
Electronic total energy, eV per atom: -7.863



No. 16
The following is a PBE calculation of a geometry-optimized ScHgPb2 structure, from the Alexandria database.

a = 11.820 Å, b = 3.444 Å, c = 5.501 Å
α = 90.00°, β = 111.64°, γ = 90.00°
Space group Cm (No. 8)
Inequivalent atoms, fractional coordinates:
Sc 0.000 0.000 0.000 (multiplicity 2)
Hg 0.213 0.500 0.345 (multiplicity 2)
Pb 0.252 0.000 0.876 (multiplicity 2)
Pb 0.473 0.000 0.496 (multiplicity 2)

Results
Energy relative to the elements, eV per formula unit: -0.68
Density of states at the Fermi level, states/eV/cell: 5.1
Electronic total energy, eV per atom: -3.682



No. 17
The following is a PBE calculation of a geometry-optimized HfGeBiIr2N structure, from the Alexandria database.

a = 9.411 Å, b = 6.440 Å, c = 3.929 Å
α = 90.00°, β = 114.56°, γ = 90.00°
Space group Cm (No. 8)
Inequivalent atoms, fractional coordinates:
Hf 0.000 0.000 0.000 (multiplicity 2)
Ge 0.214 0.500 0.214 (multiplicity 2)
Bi 0.404 0.000 0.408 (multiplicity 2)
Ir 0.213 0.275 0.713 (multiplicity 4)
N 0.088 0.000 0.588 (multiplicity 2)

Results
Density of states at the Fermi level, states/eV/cell: 5.6
ΔE_f (raw), meV/atom: -303
Electronic total energy, eV per atom: -7.720



No. 18
The following is a PBE calculation of a geometry-optimized Ti7Nb2Ga structure, from the Alexandria database.

a = 6.970 Å, b = 13.341 Å, c = 4.565 Å
α = 90.00°, β = 90.00°, γ = 90.00°
Space group Cmmm (No. 65)
Inequivalent atoms, fractional coordinates:
Ti 0.000 0.000 0.000 (multiplicity 2)
Ti 0.000 0.273 0.500 (multiplicity 4)
Ti 0.173 0.398 0.000 (multiplicity 8)
Nb 0.000 0.212 0.000 (multiplicity 4)
Ga 0.000 0.500 0.500 (multiplicity 2)

Results
Energy relative to the elements, eV per formula unit: 7.31
Density of states at the Fermi level, states/eV/cell: 24.7
Electronic total energy, eV per atom: -7.112



No. 19
The following is a PBE calculation of a geometry-optimized SrNiTe structure, from the Alexandria database.

a = 4.3771 Å, b = 4.3771 Å, c = 9.5870 Å
α = 90.00°, β = 90.00°, γ = 120.00°
Space group P3m1 (No. 156)
Inequivalent atoms, fractional coordinates:
Sr 0.0000 0.0000 0.0000 (multiplicity 1)
Sr 0.3333 0.6667 0.4323 (multiplicity 1)
Ni 0.3333 0.6667 0.7609 (multiplicity 1)
Ni 0.6667 0.3333 0.7431 (multiplicity 1)
Te 0.0000 0.0000 0.6646 (multiplicity 1)
Te 0.6667 0.3333 0.2225 (multiplicity 1)

Results
Density of states at the Fermi level, states/eV/cell: 4.8
ΔE_f (raw), meV/atom: -774
Electronic total energy, eV per atom: -4.309



No. 20
The following is a PBE calculation of a geometry-optimized DyRuS structure, from the Alexandria database.

a = 4.0254 Å, b = 4.0254 Å, c = 32.7011 Å
α = 90.00°, β = 90.00°, γ = 120.00°
Space group R-3m (No. 166, hexagonal axes)
Inequivalent atoms, fractional coordinates:
Dy 0.0000 0.0000 0.0741 (multiplicity 6)
Ru 0.0000 0.0000 0.3402 (multiplicity 6)
S 0.0000 0.0000 0.2214 (multiplicity 6)

Results
Density of states at the Fermi level, states/eV/cell: 6.7
ΔE_f (raw), meV/atom: -831
Electronic total energy, eV per atom: -6.832



No. 21
The following is a PBE calculation of a geometry-optimized Pa2PCl structure, from the Alexandria database.

a = 4.0836 Å, b = 4.0836 Å, c = 17.6748 Å
α = 90.00°, β = 90.00°, γ = 120.00°
Space group R-3m (No. 166, hexagonal axes)
Inequivalent atoms, fractional coordinates:
Pa 0.0000 0.0000 0.2492 (multiplicity 6)
P 0.0000 0.0000 0.5000 (multiplicity 3)
Cl 0.0000 0.0000 0.0000 (multiplicity 3)

Results
Density of states at the Fermi level, states/eV/cell: 19.8
ΔE_f (raw), meV/atom: -1072
Electronic total energy, eV per atom: -7.634



No. 22
The following is a PBE calculation of a geometry-optimized Pm6Hg5Sb structure, from the Alexandria database.

a = 5.402 Å, b = 7.580 Å, c = 16.310 Å
α = 90.00°, β = 90.00°, γ = 90.00°
Space group Immm (No. 71)
Inequivalent atoms, fractional coordinates:
Pm 0.000 0.247 0.000 (multiplicity 4)
Pm 0.000 0.253 0.335 (multiplicity 8)
Hg 0.000 0.000 0.178 (multiplicity 4)
Hg 0.000 0.000 0.500 (multiplicity 2)
Hg 0.000 0.500 0.166 (multiplicity 4)
Sb 0.000 0.500 0.500 (multiplicity 2)

Results
Density of states at the Fermi level, states/eV/cell: 29.6
ΔE_f (raw), meV/atom: -565
Electronic total energy, eV per atom: -3.409



No. 23
The following is a PBE calculation of a geometry-optimized Na7AcPb5 structure, from the Alexandria database.

a = 6.888 Å, b = 11.121 Å, c = 10.966 Å
α = 90.00°, β = 90.00°, γ = 90.00°
Space group Imm2 (No. 44)
Inequivalent atoms, fractional coordinates:
Na 0.000 0.000 0.000 (multiplicity 2)
Na 0.000 0.000 0.311 (multiplicity 2)
Na 0.000 0.296 0.215 (multiplicity 4)
Na 0.000 0.340 0.732 (multiplicity 4)
Na 0.000 0.500 0.432 (multiplicity 2)
Ac 0.000 0.000 0.639 (multiplicity 2)
Pb 0.000 0.500 0.003 (multiplicity 2)
Pb 0.235 0.247 0.472 (multiplicity 8)

Results
Energy relative to the elements, eV per formula unit: -1.64
Density of states at the Fermi level, states/eV/cell: 14.4
Electronic total energy, eV per atom: -2.579



No. 24
The following is a PBE calculation of a geometry-optimized CaPtW structure, from the Alexandria database.

a = 2.9954 Å, b = 2.9954 Å, c = 7.2948 Å
α = 90.00°, β = 90.00°, γ = 120.00°
Space group P3m1 (No. 156)
Inequivalent atoms, fractional coordinates:
Ca 0.0000 0.0000 0.0000 (multiplicity 1)
Pt 0.6667 0.3333 0.3455 (multiplicity 1)
W 0.3333 0.6667 0.6347 (multiplicity 1)

Results
Energy relative to the elements, eV per formula unit: 1.25
Density of states at the Fermi level, states/eV/cell: 3.9
Electronic total energy, eV per atom: -6.581